First-principles (PBE-GGA) data for a relaxed structure of LiSmCo4, as listed in Alexandria via LeMat-Bulk.

E_form ... -0.01 eV/atom
Fermi-level density of states ... 1.349 states/eV per atom
Theoretical density ... 7.5 g/cm3

```
data_LiSmCo4
_chemical_formula_sum 'Li4 Sm4 Co16'
_space_group_name_H-M_alt 'F -4 3 m'
_space_group_IT_number 216
_space_group_name_Hall 'F -4 2 3'
_cell_length_a 7.034
_cell_length_b 7.034
_cell_length_c 7.034
_cell_angle_alpha 90.00
_cell_angle_beta 90.00
_cell_angle_gamma 90.00
loop_
_atom_site_label
_atom_site_type_symbol
_atom_site_fract_x
_atom_site_fract_y
_atom_site_fract_z
Li1 Li 0.000 0.000 0.000
Sm1 Sm 0.250 0.250 0.250
Co1 Co 0.126 0.126 0.626
```

---

First-principles (PBE-GGA) data for a relaxed structure of ScAsOsBr2, as listed in Alexandria via LeMat-Bulk.

Fermi-level density of states ... 1.090 states/eV per atom
Theoretical density ... 5.5 g/cm3
Formation energy from raw total energies ... 3.5 eV per formula unit

```
data_ScAsOsBr2
_chemical_formula_sum 'Sc1 As1 Os1 Br2'
_space_group_name_H-M_alt 'P 4/m m m'
_space_group_IT_number 123
_space_group_name_Hall '-P 4 2'
_cell_length_a 5.041
_cell_length_b 5.041
_cell_length_c 5.589
_cell_angle_alpha 90.00
_cell_angle_beta 90.00
_cell_angle_gamma 90.00
loop_
_atom_site_label
_atom_site_type_symbol
_atom_site_fract_x
_atom_site_fract_y
_atom_site_fract_z
Sc1 Sc 0.000 0.000 0.000
As1 As 0.000 0.000 0.500
Os1 Os 0.500 0.500 0.500
Br1 Br 0.000 0.500 0.000
```

---

First-principles (PBE-GGA) data for a relaxed structure of Y4ErAgS8, as listed in Alexandria via LeMat-Bulk.

Fermi-level density of states ... 0.000 states/eV per atom
Theoretical density ... 4.0 g/cm3
Formation energy from raw total energies ... -25.7 eV per formula unit

```
data_Y4ErAgS8
_chemical_formula_sum 'Y12 Er3 Ag3 S24'
_space_group_name_H-M_alt 'R 3 m'
_space_group_IT_number 160
_space_group_name_Hall 'R 3 -2"'
_cell_length_a 8.0329
_cell_length_b 8.0329
_cell_length_c 19.5967
_cell_angle_alpha 90.00
_cell_angle_beta 90.00
_cell_angle_gamma 120.00
loop_
_atom_site_label
_atom_site_type_symbol
_atom_site_fract_x
_atom_site_fract_y
_atom_site_fract_z
Y1 Y 0.0000 0.0000 0.0000
Y2 Y 0.1724 0.3448 0.2074
Er1 Er 0.0000 0.0000 0.3800
Ag1 Ag 0.0000 0.0000 0.7510
S1 S 0.0000 0.0000 0.1338
S2 S 0.0000 0.0000 0.6181
S3 S 0.0217 0.5108 0.1272
S4 S 0.1789 0.3578 0.9567
```

---

First-principles (PBE-GGA) data for a relaxed structure of Fe2NiGe2, as listed in Alexandria via LeMat-Bulk.

E_form ... 0.03 eV/atom
Fermi-level density of states ... 0.917 states/eV per atom
Theoretical density ... 8.1 g/cm3

```
data_Fe2NiGe2
_chemical_formula_sum 'Fe4 Ni2 Ge4'
_space_group_name_H-M_alt 'P 4/m b m'
_space_group_IT_number 127
_space_group_name_Hall '-P 4 2ab'
_cell_length_a 6.431
_cell_length_b 6.431
_cell_length_c 3.135
_cell_angle_alpha 90.00
_cell_angle_beta 90.00
_cell_angle_gamma 90.00
loop_
_atom_site_label
_atom_site_type_symbol
_atom_site_fract_x
_atom_site_fract_y
_atom_site_fract_z
Fe1 Fe 0.146 0.354 0.000
Ni1 Ni 0.000 0.000 0.500
Ge1 Ge 0.152 0.652 0.500
```

---

First-principles (PBE-GGA) data for a relaxed structure of Cd2SnSbP, as listed in Alexandria via LeMat-Bulk.

Fermi-level density of states ... 0.444 states/eV per atom
Theoretical density ... 5.1 g/cm3
Formation energy from raw total energies ... 4.3 eV per formula unit

```
data_Cd2SnSbP
_chemical_formula_sum 'Cd2 Sn1 Sb1 P1'
_space_group_name_H-M_alt 'P 4/m m m'
_space_group_IT_number 123
_space_group_name_Hall '-P 4 2'
_cell_length_a 5.284
_cell_length_b 5.284
_cell_length_c 5.842
_cell_angle_alpha 90.00
_cell_angle_beta 90.00
_cell_angle_gamma 90.00
loop_
_atom_site_label
_atom_site_type_symbol
_atom_site_fract_x
_atom_site_fract_y
_atom_site_fract_z
Cd1 Cd 0.000 0.500 0.000
Sn1 Sn 0.000 0.000 0.000
Sb1 Sb 0.000 0.000 0.500
P1 P 0.500 0.500 0.500
```

---

First-principles (PBE-GGA) data for a relaxed structure of Ac12RhAu6, as listed in Alexandria via LeMat-Bulk.

E_form ... -0.50 eV/atom
Fermi-level density of states ... 1.262 states/eV per atom
Theoretical density ... 9.2 g/cm3

```
data_Ac12RhAu6
_chemical_formula_sum 'Ac36 Rh3 Au18'
_space_group_name_H-M_alt 'R -3'
_space_group_IT_number 148
_space_group_name_Hall '-R 3'
_cell_length_a 13.7601
_cell_length_b 13.7601
_cell_length_c 13.2678
_cell_angle_alpha 90.00
_cell_angle_beta 90.00
_cell_angle_gamma 120.00
loop_
_atom_site_label
_atom_site_type_symbol
_atom_site_fract_x
_atom_site_fract_y
_atom_site_fract_z
Ac1 Ac 0.0258 0.2063 0.3922
Ac2 Ac 0.0417 0.1976 0.8810
Rh1 Rh 0.0000 0.0000 0.0000
Au1 Au 0.0454 0.2719 0.6464
```

---

> Which value of theoretical density does entry 2 give?

5.5 g/cm3